Compound: Ca2AlGe3Pd4
Source: the Alexandria database
Functional: GGA-PBE
Structure: relaxed

Values from the calculation:
- final energy (eV/atom) = -4.965
- space-group type = P-4m2

The structure in CIF format:
```
data_Ca2AlGe3Pd4
_cell_length_a 4.1547
_cell_length_b 4.1547
_cell_length_c 10.9841
_cell_angle_alpha 90.00
_cell_angle_beta 90.00
_cell_angle_gamma 90.00
_space_group_name_H-M_alt 'P 1'
_space_group_IT_number 1
loop_
_space_group_symop_operation_xyz
'x,y,z'
loop_
_atom_site_label
_atom_site_fract_x
_atom_site_fract_y
_atom_site_fract_z
Ca1 0.0000 0.5000 0.2478
Ca2 0.5000 0.0000 0.7522
Al1 0.0000 0.0000 0.5000
Ge1 0.0000 0.5000 0.8661
Ge2 0.5000 0.0000 0.1339
Ge3 0.5000 0.5000 0.5000
Pd1 0.0000 0.0000 0.0000
Pd2 0.0000 0.5000 0.6373
Pd3 0.5000 0.0000 0.3627
Pd4 0.5000 0.5000 0.0000
```

Compound: Rb3PaAg2Se6
Source: the Alexandria database
Functional: GGA-PBE
Structure: relaxed

Values from the calculation:
- formation energy (no corrections) (kJ per mole of atoms) = -80
- space-group type = C2/m

The structure in CIF format:
```
data_Rb3PaAg2Se6
_cell_length_a 7.4109
_cell_length_b 7.4109
_cell_length_c 8.3587
_cell_angle_alpha 97.48
_cell_angle_beta 97.48
_cell_angle_gamma 124.68
_space_group_name_H-M_alt 'P 1'
_space_group_IT_number 1
loop_
_space_group_symop_operation_xyz
'x,y,z'
loop_
_atom_site_label
_atom_site_fract_x
_atom_site_fract_y
_atom_site_fract_z
Rb1 0.0000 0.0000 0.0000
Rb2 0.3225 0.6775 0.0000
Rb3 0.6775 0.3225 0.0000
Pa1 0.5000 0.5000 0.5000
Ag1 0.1479 0.8521 0.5000
Ag2 0.8521 0.1479 0.5000
Se1 0.1001 0.4141 0.3146
Se2 0.2588 0.2588 0.7135
Se3 0.4141 0.1001 0.3146
Se4 0.5859 0.8999 0.6854
Se5 0.7412 0.7412 0.2865
Se6 0.8999 0.5859 0.6854
```

Compound: Sc12Tl4PdO3
Source: the Alexandria database
Functional: GGA-PBE
Structure: relaxed

Values from the calculation:
- formation energy (no corrections) (kJ per mole of atoms) = -102
- space-group type = Im-3m

The structure in CIF format:
```
data_Sc12Tl4PdO3
_cell_length_a 7.9993
_cell_length_b 7.9993
_cell_length_c 7.9993
_cell_angle_alpha 109.47
_cell_angle_beta 109.47
_cell_angle_gamma 109.47
_space_group_name_H-M_alt 'P 1'
_space_group_IT_number 1
loop_
_space_group_symop_operation_xyz
'x,y,z'
loop_
_atom_site_label
_atom_site_fract_x
_atom_site_fract_y
_atom_site_fract_z
Sc1 0.0000 0.2689 0.2689
Sc2 0.0000 0.7311 0.7311
Sc3 0.2500 0.5000 0.7500
Sc4 0.2500 0.7500 0.5000
Sc5 0.2689 0.0000 0.2689
Sc6 0.2689 0.2689 0.0000
Sc7 0.5000 0.2500 0.7500
Sc8 0.5000 0.7500 0.2500
Sc9 0.7311 0.0000 0.7311
Sc10 0.7311 0.7311 0.0000
Sc11 0.7500 0.2500 0.5000
Sc12 0.7500 0.5000 0.2500
Tl1 0.0000 0.0000 0.5000
Tl2 0.0000 0.5000 0.0000
Tl3 0.5000 0.0000 0.0000
Tl4 0.5000 0.5000 0.5000
Pd1 0.0000 0.0000 0.0000
O1 0.0000 0.5000 0.5000
O2 0.5000 0.0000 0.5000
O3 0.5000 0.5000 0.0000
```